Compound: RbBa2H8Ir
Source: the Alexandria database
Functional: GGA-PBE
Structure: relaxed

```
12
Lattice="-0.531 3.358 4.054 -4.279 -1.690 -2.614 -0.600 -5.830 4.751" Properties=species:S:1:pos:R:3 pbc="T T T"
Rb -0.300 -2.915 2.375
Ba -1.907 0.443 2.836
Ba -3.503 -4.604 3.355
H -3.955 -3.423 5.770
H -1.334 -4.332 4.985
H -1.624 -2.502 7.194
H -1.455 -0.739 0.421
H -4.076 0.171 1.206
H -3.786 -1.659 -1.003
H -2.120 -1.626 4.522
H -3.290 -2.535 1.669
Ir 0.000 0.000 0.000
```

For the electronic total energy, the calculation gives -3.8369 eV/atom. The crystal system is trigonal. For the density of states at the Fermi level, the calculation gives 0.0 states/eV/cell. The space-group type is No. 164.

Compound: Ba2H6IrRh
Source: the Alexandria database
Functional: GGA-PBE
Structure: relaxed

```
10
Lattice="-0.397 1.532 -5.062 1.137 -4.933 -1.582 -4.003 -2.719 -3.287" Properties=species:S:1:pos:R:3 pbc="T T T"
Ba -2.015 -1.444 -5.835
Ba -1.248 -4.676 -4.095
H -2.340 -2.332 -3.300
H -3.455 -5.241 -8.213
H 0.740 -3.262 -2.482
H -0.001 -0.140 -4.162
H 0.191 -0.879 -1.718
H -0.924 -3.789 -6.631
Ir 0.370 -1.701 -3.322
Rh 0.000 0.000 0.000
```

For the electronic total energy, the calculation gives -4.4261 eV/atom. The crystal system is tetragonal. For the density of states at the Fermi level, the calculation gives 3.4 states/eV/cell. The space-group type is No. 139.

Compound: Ba2HIrRh
Source: the Alexandria database
Functional: GGA-PBE
Structure: relaxed

```
5
Lattice="-0.193 0.740 -5.900 -3.441 -0.308 0.074 -0.510 5.879 0.754" Properties=species:S:1:pos:R:3 pbc="T T T"
H -1.721 -0.154 0.037
Ir 0.000 0.000 0.000
Rh -2.072 3.156 -2.536
Ba -0.255 2.940 0.377
Ba -0.097 0.370 -2.950
```

For the electronic total energy, the calculation gives -4.4577 eV/atom. The crystal system is tetragonal. For the density of states at the Fermi level, the calculation gives 4.5 states/eV/cell. The space-group type is No. 123.

Compound: BaH2IrRu
Source: the Alexandria database
Functional: GGA-PBE
Structure: relaxed

```
5
Lattice="4.100 0.000 0.000 0.000 4.808 0.000 0.000 0.000 4.100" Properties=species:S:1:pos:R:3 pbc="T T T"
Ru 0.000 2.404 0.000
Ir 0.000 0.000 0.000
Ba 2.050 2.404 2.050
H 0.000 0.000 2.050
H 2.050 0.000 0.000
```

For the electronic total energy, the calculation gives -4.8790 eV/atom. The crystal system is tetragonal. For the density of states at the Fermi level, the calculation gives 3.0 states/eV/cell. The space-group type is No. 123.

Compound: Ba2HIrRu
Source: the Alexandria database
Functional: GGA-PBE
Structure: relaxed

```
5
Lattice="-4.686 -0.164 -3.684 2.759 -1.303 -3.451 -0.919 -5.717 1.423" Properties=species:S:1:pos:R:3 pbc="T T T"
Ru 0.000 0.000 0.000
Ir 1.380 -0.651 -1.726
Ba -0.460 -2.859 0.712
Ba -2.343 -0.082 -1.842
H -1.423 -3.592 -2.856
```

For the electronic total energy, the calculation gives -4.6038 eV/atom. The crystal system is tetragonal. For the density of states at the Fermi level, the calculation gives 3.4 states/eV/cell. The space-group type is No. 123.

Compound: Ba2Sb2H4Ir
Source: the Alexandria database
Functional: GGA-PBE
Structure: relaxed

```
9
Lattice="-2.424 1.862 5.517 -3.725 -3.742 -3.449 5.012 -3.806 0.411" Properties=species:S:1:pos:R:3 pbc="T T T"
Ba -2.753 -2.828 0.274
Ba 1.616 -2.860 2.204
Sb 0.865 -5.075 -2.043
Sb 0.422 -2.474 -0.996
H -2.169 -3.754 -2.762
H -0.503 -5.006 1.054
H 3.456 -3.795 -0.277
H -0.634 -0.681 1.424
Ir 0.000 0.000 0.000
```

For the electronic total energy, the calculation gives -4.1483 eV/atom. The crystal system is tetragonal. For the density of states at the Fermi level, the calculation gives 5.6 states/eV/cell. The space-group type is No. 139.

Compound: BaSnH8Ir2
Source: the Alexandria database
Functional: GGA-PBE
Structure: relaxed

```
12
Lattice="-4.314 -1.620 -2.230 0.162 -2.092 -4.670 -0.578 -6.936 0.280" Properties=species:S:1:pos:R:3 pbc="T T T"
Ba -2.366 -5.324 -3.310
Sn 0.000 0.000 0.000
H -1.087 -3.340 -1.348
H -2.063 -2.763 -3.244
H -3.644 -7.308 -5.272
H -3.907 -3.458 -4.202
H -0.824 -7.190 -2.418
H -1.989 -3.658 -5.243
H -2.742 -6.990 -1.377
H -2.668 -7.885 -3.376
Ir -1.301 -1.826 -2.033
Ir -3.430 -8.822 -4.586
```

For the electronic total energy, the calculation gives -4.2505 eV/atom. The crystal system is trigonal. For the density of states at the Fermi level, the calculation gives 2.3 states/eV/cell. The space-group type is No. 166.

Compound: Ba2SrH8Ir
Source: the Alexandria database
Functional: GGA-PBE
Structure: relaxed

```
12
Lattice="5.468 0.000 0.000 -2.734 4.736 0.000 0.000 0.000 6.930" Properties=species:S:1:pos:R:3 pbc="T T T"
Ba 2.734 1.579 1.383
Ba 0.000 3.157 5.547
Sr 0.000 0.000 3.465
H 2.734 3.354 5.946
H 1.197 0.691 5.946
H 4.272 0.691 5.946
H 0.000 1.382 0.984
H 1.537 4.045 0.984
H -1.537 4.045 0.984
H 2.734 1.579 3.970
H 0.000 3.157 2.961
Ir 0.000 0.000 0.000
```

For the electronic total energy, the calculation gives -3.8444 eV/atom. The crystal system is trigonal. For the density of states at the Fermi level, the calculation gives 4.0 states/eV/cell. The space-group type is No. 164.

Compound: BaSr2H8Ir
Source: the Alexandria database
Functional: GGA-PBE
Structure: relaxed

```
12
Lattice="-4.704 1.753 -1.079 0.636 -3.582 3.623 0.856 5.633 5.419" Properties=species:S:1:pos:R:3 pbc="T T T"
Ba 0.428 2.817 2.710
Sr -2.796 0.817 1.299
Sr -0.416 2.987 6.664
H -2.790 3.912 6.302
H -0.617 4.890 4.942
H -3.130 5.826 4.366
H -0.421 -0.108 1.661
H -2.595 -1.086 3.020
H -0.082 -2.022 3.597
H -2.538 2.513 2.930
H -0.674 1.291 5.033
Ir 0.000 0.000 0.000
```

For the electronic total energy, the calculation gives -3.9223 eV/atom. The crystal system is trigonal. For the density of states at the Fermi level, the calculation gives 3.0 states/eV/cell. The space-group type is No. 164.

Compound: BaHIrW2
Source: the Alexandria database
Functional: GGA-PBE
Structure: relaxed

```
5
Lattice="5.205 0.000 0.000 0.000 5.205 0.000 0.000 0.000 3.239" Properties=species:S:1:pos:R:3 pbc="T T T"
H 0.000 0.000 1.620
Ir 2.602 2.602 1.620
Ba 0.000 0.000 0.000
W 0.000 2.602 0.000
W 2.602 0.000 0.000
```

For the electronic total energy, the calculation gives -5.2942 eV/atom. The crystal system is tetragonal. For the density of states at the Fermi level, the calculation gives 5.1 states/eV/cell. The space-group type is No. 123.

Compound: BaZnH8Ir2
Source: the Alexandria database
Functional: GGA-PBE
Structure: relaxed

```
12
Lattice="-4.155 0.952 2.301 -1.589 -2.988 3.466 1.238 2.651 6.237" Properties=species:S:1:pos:R:3 pbc="T T T"
Ba -2.253 0.308 6.002
Zn 0.000 0.000 0.000
H -0.761 0.539 3.501
H -2.877 -0.180 3.484
H -3.745 0.076 8.503
H -4.530 -0.549 4.975
H 0.023 1.164 7.029
H -2.802 -1.992 4.826
H -1.705 2.607 7.178
H -1.629 0.795 8.521
Ir -1.602 -0.349 2.350
Ir -2.904 0.964 9.654
```

For the electronic total energy, the calculation gives -4.1035 eV/atom. The crystal system is trigonal. For the density of states at the Fermi level, the calculation gives 0.4 states/eV/cell. The space-group type is No. 148.

Compound: K4BaH6
Source: the Alexandria database
Functional: GGA-PBE
Structure: relaxed

```
22
Lattice="3.916 0.000 0.000 -1.958 6.558 0.000 0.000 0.000 18.699" Properties=species:S:1:pos:R:3 pbc="T T T"
K 1.958 4.737 10.180
K 0.000 5.361 2.552
K 0.000 1.820 8.519
K 1.958 1.197 16.147
K 1.958 4.737 17.868
K 0.000 1.820 0.830
K 1.958 1.197 11.901
K 0.000 5.361 6.797
Ba 1.958 2.182 4.675
Ba 0.000 4.376 14.024
H 1.958 0.000 0.000
H 1.958 0.000 9.349
H 0.000 0.806 6.103
H 1.958 5.752 12.595
H 1.958 5.752 15.453
H 0.000 0.806 3.246
H 1.958 3.492 7.489
H 0.000 3.066 11.209
H 0.000 3.066 16.838
H 1.958 3.492 1.860
H 0.000 3.907 4.675
H 1.958 2.651 14.024
```

For the electronic total energy, the calculation gives -2.6611 eV/atom. The crystal system is orthorhombic. For the density of states at the Fermi level, the calculation gives 0.0 states/eV/cell. The space-group type is No. 63.